## PrDyLu2 (PBE)

Data for a relaxed PrDyLu2 crystal.

Electronic total energy, eV for the cell shown: -18.297
Symmetry: P4/mmm (123)
Size of the total moment, μB per formula unit: 0.00
Energy of formation from the pure elements, meV per atom: 32
Excess energy over the best structure of this formula in the dataset, eV per atom: 0.001

POSCAR file:
```
PrDyLu2
1.0
5.0401 0.0000 0.0000
0.0000 5.0401 0.0000
0.0000 0.0000 4.9551
Pr Dy Lu
1 1 2
direct
0.0000 0.0000 0.0000
0.5000 0.5000 0.0000
0.0000 0.5000 0.5000
0.5000 0.0000 0.5000
```